# Pr6Bi2Te3P (GGA-PBE, optimized geometry)
# Total moment (μB/f.u.): 0.0
# Formation energy from raw total energies (meV per atom): -1324
data_Pr6Bi2Te3P
_chemical_formula_sum 'Pr12 Bi4 Te6 P2'
_cell_length_a 19.818
_cell_length_b 4.479
_cell_length_c 9.112
_cell_angle_alpha 90.00
_cell_angle_beta 103.42
_cell_angle_gamma 90.00
_space_group_name_H-M_alt 'C 1 2/m 1'
_space_group_IT_number 12
_space_group_name_Hall '-C 2y'
loop_
_atom_site_label
_atom_site_type_symbol
_atom_site_fract_x
_atom_site_fract_y
_atom_site_fract_z
Pr1 Pr 0.001 0.000 0.283
Pr2 Pr 0.150 0.500 0.575
Pr3 Pr 0.165 0.500 0.083
Bi1 Bi 0.167 0.000 0.833
Te1 Te 0.000 0.500 0.000
Te2 Te 0.171 0.000 0.338
P1 P 0.000 0.500 0.500

# Sm2InPd9 (GGA-PBE, optimized geometry)
# DFT total energy (eV per atom): -5.593
# Total moment (μB/f.u.): 0.0
data_Sm2InPd9
_chemical_formula_sum 'Sm2 In1 Pd9'
_cell_length_a 4.152
_cell_length_b 4.152
_cell_length_c 12.262
_cell_angle_alpha 90.00
_cell_angle_beta 90.00
_cell_angle_gamma 90.00
_space_group_name_H-M_alt 'P 4/m m m'
_space_group_IT_number 123
_space_group_name_Hall '-P 4 2'
loop_
_atom_site_label
_atom_site_type_symbol
_atom_site_fract_x
_atom_site_fract_y
_atom_site_fract_z
Sm1 Sm 0.000 0.000 0.172
In1 In 0.000 0.000 0.500
Pd1 Pd 0.000 0.500 0.000
Pd2 Pd 0.000 0.500 0.342
Pd3 Pd 0.500 0.500 0.170
Pd4 Pd 0.500 0.500 0.500